No. 1
GeP3S: optimized geometry, GGA-PBE.

Calculated values
Offset from the most stable computed form: 0 meV per atom
Crystal system: cubic

Cell: 4.5391 4.5391 4.5391 Å, 90.00 90.00 90.00°
Fractional coordinates of all 5 atoms:
P 0.5000 0.0000 0.0000
Ge 0.5000 0.5000 0.5000
S 0.0000 0.0000 0.0000
P 0.0000 0.5000 0.0000
P 0.0000 0.0000 0.5000

No. 2
La2ZnMo: optimized geometry, GGA-PBE.

Calculated values
ΔH_f (0 K): 1.868 eV per formula unit
Crystal system: tetragonal

Cell: 8.1248 8.1248 6.5109 Å, 51.40 51.40 90.00°
Fractional coordinates of all 8 atoms:
La 0.0843 0.6250 0.2500
Zn 0.5000 0.5000 0.0000
La 0.3750 0.3343 0.7500
Mo 0.0000 0.0000 0.0000
Zn 0.2500 0.7500 0.5000
La 0.6657 0.1250 0.2500
Mo 0.7500 0.2500 0.5000
La 0.8750 0.9157 0.7500

No. 3
Cs2CaGaBr: optimized geometry, GGA-PBE.

Calculated values
Final energy: -10.1 eV/cell
Crystal system: tetragonal

Cell: 6.9209 5.8978 6.9209 Å, 90.00 90.00 90.00°
Fractional coordinates of all 5 atoms:
Br 0.5000 0.5000 0.5000
Ca 0.0000 0.5000 0.0000
Cs 0.5000 0.0000 0.0000
Cs 0.0000 0.0000 0.5000
Ga 0.0000 0.0000 0.0000

No. 4
Nd3GaTe2: optimized geometry, GGA-PBE.

Calculated values
Offset from the most stable computed form: 0 meV per atom
Crystal system: orthorhombic

Cell: 4.3633 6.2883 7.8094 Å, 113.74 106.22 90.00°
Fractional coordinates of all 6 atoms:
Nd 0.0000 0.0000 0.0000
Ga 0.0000 0.5000 0.0000
Te 0.6709 0.1709 0.3419
Nd 0.6560 0.6560 0.3121
Nd 0.3440 0.3440 0.6879
Te 0.3291 0.8291 0.6581

No. 5
La2BIrAu: optimized geometry, GGA-PBE.

Calculated values
ΔH_f (0 K): -2.802 eV per formula unit
Crystal system: tetragonal

Cell: 5.4206 5.4206 4.0002 Å, 90.00 90.00 90.00°
Fractional coordinates of all 5 atoms:
La 0.5000 0.0000 0.0000
Ir 0.0000 0.0000 0.5000
B 0.0000 0.0000 0.0000
La 0.0000 0.5000 0.0000
Au 0.5000 0.5000 0.5000

No. 6
Nb2NiPt6: optimized geometry, GGA-PBE.

Calculated values
ΔH_f (0 K): -2.582 eV per formula unit
Crystal system: orthorhombic

Cell: 3.8230 7.0840 7.1869 Å, 119.53 105.46 90.00°
Fractional coordinates of all 9 atoms:
Nb 0.3483 0.3478 0.6956
Pt 0.5000 0.2309 0.0000
Pt 0.8347 0.0671 0.6694
Pt 0.1653 0.9329 0.3306
Pt 0.1653 0.3977 0.3306
Ni 0.0000 0.0000 0.0000
Pt 0.5000 0.7691 0.0000
Pt 0.8347 0.6023 0.6694
Nb 0.6517 0.6522 0.3044

No. 7
CaNdCuHg: optimized geometry, GGA-PBE.

Calculated values
ΔH_f (0 K): -1.197 eV per formula unit
Crystal system: cubic

Cell: 5.2384 5.2384 5.2384 Å, 60.00 60.00 60.00°
Fractional coordinates of all 4 atoms:
Nd 0.5000 0.5000 0.5000
Ca 0.0000 0.0000 0.0000
Cu 0.2500 0.2500 0.2500
Hg 0.7500 0.7500 0.7500

No. 8
Li4EuGa: optimized geometry, GGA-PBE.

Calculated values
ΔH_f (0 K): -0.581 eV per formula unit
Crystal system: cubic

Cell: 5.5418 5.5418 5.5418 Å, 60.00 60.00 60.00°
Last column: magnetic moment on the atom in μB.
Fractional coordinates of all 6 atoms:
Li 0.1171 0.6276 0.6276  0.01
Ga 0.0000 0.0000 0.0000  -0.02
Li 0.6276 0.6276 0.6276  0.01
Li 0.6276 0.6276 0.1171  0.01
Li 0.6276 0.1171 0.6276  0.01
Eu 0.2500 0.2500 0.2500  6.87

No. 9
AcPm4Ho6: optimized geometry, GGA-PBE.

Calculated values
ΔH_f (0 K): 3.727 eV per formula unit
Crystal system: tetragonal

Cell: 9.7773 9.7773 9.7773 Å, 58.04 139.88 139.88°
Fractional coordinates of all 11 atoms:
Pm 0.6171 0.9863 0.9863
Ho 0.3576 0.5540 0.5540
Ho 0.5000 0.5000 0.0000
Pm 0.0000 0.6307 0.0137
Ho 0.0000 0.4460 0.8036
Pm 0.0000 0.0137 0.6307
Pm 0.3829 0.3693 0.3693
Ac 0.0000 0.0000 0.0000
Ho 0.6424 0.1964 0.1964
Ho 0.0000 0.8036 0.4460
Ho 0.5000 0.0000 0.5000

No. 10
BaTaCu: optimized geometry, GGA-PBE.

Calculated values
ΔH_f (0 K): 1.858 eV per formula unit
Offset from the most stable computed form: 309 meV per atom
Crystal system: monoclinic

Cell: 3.1753 6.5196 8.6845 Å, 117.94 100.60 75.86°
Fractional coordinates of all 6 atoms:
Ba 0.6708 0.2500 0.6802
Cu 0.9394 0.3384 0.3058
Ta 0.3882 0.6705 0.5357
Ta 0.9537 0.8296 0.8248
Cu 0.4030 0.1615 0.0550
Ba 0.1690 0.7497 0.1801

No. 11
AlTe2Br: optimized geometry, GGA-PBE.

Calculated values
Offset from the most stable computed form: 568 meV per atom
Crystal system: trigonal

Cell: 13.4756 13.4756 13.4756 Å, 13.40 13.40 13.40°
Fractional coordinates of all 4 atoms:
Te 0.9288 0.9288 0.9288
Te 0.0712 0.0712 0.0712
Br 0.5000 0.5000 0.5000
Al 0.0000 0.0000 0.0000

No. 12
Ti4GaC2: optimized geometry, GGA-PBE.

Calculated values
ΔH_f (0 K): -4.822 eV per formula unit
Crystal system: orthorhombic

Cell: 3.1601 5.4907 11.0772 Å, 90.00 90.00 106.72°
Fractional coordinates of all 14 atoms:
C 0.8656 0.7313 0.9405
Ti 0.5000 0.0000 0.5000
C 0.1344 0.2687 0.0595
C 0.8656 0.7313 0.5595
Ti 0.2412 0.4824 0.6035
Ti 0.7588 0.5176 0.3965
Ga 0.3890 0.7780 0.2500
C 0.1344 0.2687 0.4405
Ga 0.6110 0.2220 0.7500
Ti 0.0847 0.1695 0.2500
Ti 0.9153 0.8305 0.7500
Ti 0.5000 0.0000 0.0000
Ti 0.7588 0.5176 0.1035
Ti 0.2412 0.4824 0.8965